# Ho4Ga3Pd | the Alexandria database | PBE-GGA | relaxed
data_Ho4Ga3Pd
_chemical_formula_sum 'Ho4 Ga3 Pd1'
_space_group_name_H-M_alt 'P m m 2'
_space_group_IT_number 25
_cell_length_a 3.848
_cell_length_b 4.346
_cell_length_c 11.075
_cell_angle_alpha 90.00
_cell_angle_beta 90.00
_cell_angle_gamma 90.00
loop_
_space_group_symop_operation_xyz
'x,y,z'
'-x,-y,z'
'-x,y,z'
'x,-y,z'
loop_
_atom_site_label
_atom_site_type_symbol
_atom_site_fract_x
_atom_site_fract_y
_atom_site_fract_z
Ho1 Ho 0.000 0.000 0.000
Ho2 Ho 0.000 0.500 0.276
Ho3 Ho 0.500 0.000 0.483
Ho4 Ho 0.500 0.500 0.784
Ga1 Ga 0.000 0.000 0.710
Ga2 Ga 0.000 0.500 0.560
Ga3 Ga 0.500 0.500 0.055
Pd1 Pd 0.500 0.000 0.212
# Density of states at the Fermi level = 5.97 states/eV per cell
# Final energy = -4.748 eV/atom
# Energy relative to the elements = -0.67 eV per atom
# Magnetization = 0.000 μB per formula unit